LiMnPCO7 | PBE with a Hubbard U | optimized geometry

Lattice parameters (Å, degrees): 6.218 5.171 8.709 86.14 90.00 90.00
Positions (direct):
P: 0.741 0.726 0.431
P: 0.241 0.274 0.569
O: 0.435 0.183 0.670
O: 0.788 0.310 0.068
O: 0.751 0.429 0.471
O: 0.742 0.046 0.872
O: 0.548 0.797 0.325
O: 0.731 0.862 0.584
O: 0.231 0.138 0.416
O: 0.734 0.463 0.820
O: 0.048 0.203 0.675
O: 0.288 0.690 0.932
O: 0.251 0.571 0.529
O: 0.935 0.817 0.330
O: 0.242 0.954 0.128
O: 0.234 0.537 0.180
Li: 0.528 0.777 0.796
Li: 0.028 0.223 0.204
C: 0.754 0.275 0.931
C: 0.254 0.725 0.069
Mn: 0.245 0.788 0.341
Mn: 0.745 0.212 0.659

SG: P2_1
M_tot: 2.98 μB/f.u.
energy above the most stable polymorph in this dataset: 10 meV per atom